No. 1
DFT (SCAN) results for a PBEsol-optimized structure of ReRu.

Cell lengths 4.714, 4.328, 5.449 Å; angles 90.00, 90.00, 90.00 degrees
Space group Pnma (No. 62)
Symmetry-distinct sites (fractional):
1 Re 0.084 0.250 0.124
2 Ru 0.084 0.250 0.626

Calculated formation energy   -0.09 eV per atom

No. 2
DFT (SCAN) results for a PBEsol-optimized structure of CdPd3.

Cell lengths 5.5943, 5.5943, 4.5635 Å; angles 90.00, 90.00, 120.00 degrees
Space group P6_3/mmc (No. 194)
Symmetry-distinct sites (fractional):
1 Cd 0.3333 0.6667 0.2500
2 Pd 0.1647 0.3294 0.7500

Calculated formation energy   -0.26 eV per atom